No. 1
Below is crystalline BaReSb2 at its relaxed geometry, with properties calculated at the PBE level.

Properties
polymorph energy (0 for the lowest one) = 0.55 eV per formula unit
space-group type = P4/mmm
final energy = -5.577 eV per atom

Unit cell a=3.4120 b=3.4120 c=8.5119 alpha=90.00 beta=90.00 gamma=89.97
Element x y z (fractional)
Ba1 0.5000 0.5000 0.2500
Re1 0.5000 0.5000 0.7500
Sb1 0.0000 0.0000 0.9376
Sb2 0.0000 0.0000 0.5624


No. 2
Below is crystalline NaNpTlSe3 at its relaxed geometry, with properties calculated at the PBE level.

Properties
space-group type = P2_1/m
final energy = -5.474 eV per atom

Unit cell a=4.2024 b=10.1994 c=8.0392 alpha=94.06 beta=90.00 gamma=90.00
Site moments in Bohr magnetons follow the coordinates.
Element x y z (fractional)
Na1 0.2500 0.9887 0.7433  0.00
Na2 0.7500 0.0113 0.2567  0.00
Np1 0.2500 0.6805 0.0784  3.40
Np2 0.7500 0.3195 0.9216  3.40
Tl1 0.7500 0.6654 0.5585  -0.02
Tl2 0.2500 0.3346 0.4415  -0.02
Se1 0.2500 0.8305 0.3761  -0.10
Se2 0.7500 0.8198 0.9336  -0.11
Se3 0.7500 0.5174 0.1925  -0.13
Se4 0.7500 0.1695 0.6239  -0.10
Se5 0.2500 0.4826 0.8075  -0.13
Se6 0.2500 0.1802 0.0664  -0.11


no.,M_tot (μB per formula unit),E_form (uncorrected) (eV per atom)
1,0.00,0.077
2,3.00,-0.961